(1)
# Ac4SmIn | the Alexandria database | PBE | optimized geometry
data_Ac4SmIn
_chemical_formula_sum 'Ac16 Sm4 In4'
_symmetry_space_group_name_H-M 'I 41 m d'
_symmetry_Int_Tables_number 109
_symmetry_space_group_name_Hall 'I 4bw -2'
_cell_length_a 12.1170
_cell_length_b 12.1170
_cell_length_c 7.7771
_cell_angle_alpha 90.00
_cell_angle_beta 90.00
_cell_angle_gamma 90.00
loop_
_atom_site_label
_atom_site_fract_x
_atom_site_fract_y
_atom_site_fract_z
Ac1 0.0000 0.2147 0.0000
Ac2 0.0000 0.2413 0.4956
Sm1 0.0000 0.0000 0.7411
In1 0.0000 0.0000 0.3058
# uncorrected energy	-87.5	eV/cell
# calculated formation energy	336	meV/atom


(2)
# AcSm4In | the Alexandria database | PBE | optimized geometry
data_AcSm4In
_chemical_formula_sum 'Ac1 Sm4 In1'
_symmetry_space_group_name_H-M 'P 4/m m m'
_symmetry_Int_Tables_number 123
_symmetry_space_group_name_Hall '-P 4 2'
_cell_length_a 3.7516
_cell_length_b 3.7516
_cell_length_c 14.4234
_cell_angle_alpha 90.00
_cell_angle_beta 90.00
_cell_angle_gamma 90.00
loop_
_atom_site_label
_atom_site_fract_x
_atom_site_fract_y
_atom_site_fract_z
Ac1 0.0000 0.0000 0.0000
Sm1 0.0000 0.0000 0.3600
Sm2 0.5000 0.5000 0.1881
In1 0.5000 0.5000 0.5000
# uncorrected energy	-26.5	eV/cell
# calculated formation energy	-128	meV/atom


(3)
# Ac5SmIn4 | the Alexandria database | PBE | optimized geometry
data_Ac5SmIn4
_chemical_formula_sum 'Ac5 Sm1 In4'
_symmetry_space_group_name_H-M 'P 4/m m m'
_symmetry_Int_Tables_number 123
_symmetry_space_group_name_Hall '-P 4 2'
_cell_length_a 3.9083
_cell_length_b 3.9083
_cell_length_c 23.3727
_cell_angle_alpha 90.00
_cell_angle_beta 90.00
_cell_angle_gamma 90.00
loop_
_atom_site_label
_atom_site_fract_x
_atom_site_fract_y
_atom_site_fract_z
Ac1 0.0000 0.0000 0.0000
Ac2 0.0000 0.0000 0.1940
Ac3 0.0000 0.0000 0.3863
Sm1 0.5000 0.5000 0.5000
In1 0.5000 0.5000 0.0971
In2 0.5000 0.5000 0.2906
# uncorrected energy	-39.3	eV/cell
# calculated formation energy	-312	meV/atom


(4)
# Ac4SmIn5 | the Alexandria database | PBE | optimized geometry
data_Ac4SmIn5
_chemical_formula_sum 'Ac4 Sm1 In5'
_symmetry_space_group_name_H-M 'P 4/m m m'
_symmetry_Int_Tables_number 123
_symmetry_space_group_name_Hall '-P 4 2'
_cell_length_a 4.0199
_cell_length_b 4.0199
_cell_length_c 20.5997
_cell_angle_alpha 90.00
_cell_angle_beta 90.00
_cell_angle_gamma 90.00
loop_
_atom_site_label
_atom_site_fract_x
_atom_site_fract_y
_atom_site_fract_z
Ac1 0.0000 0.0000 0.1038
Ac2 0.0000 0.0000 0.3101
Sm1 0.0000 0.0000 0.5000
In1 0.5000 0.5000 0.0000
In2 0.5000 0.5000 0.2076
In3 0.5000 0.5000 0.4154
# uncorrected energy	-39.2	eV/cell
# calculated formation energy	-432	meV/atom


(5)
# AcSm3In | the Alexandria database | PBE | optimized geometry
data_AcSm3In
_chemical_formula_sum 'Ac4 Sm12 In4'
_symmetry_space_group_name_H-M 'C m c m'
_symmetry_Int_Tables_number 63
_symmetry_space_group_name_Hall '-C 2c 2'
_cell_length_a 5.9834
_cell_length_b 18.3735
_cell_length_c 5.9458
_cell_angle_alpha 90.00
_cell_angle_beta 90.00
_cell_angle_gamma 90.00
loop_
_atom_site_label
_atom_site_fract_x
_atom_site_fract_y
_atom_site_fract_z
Ac1 0.0000 0.1487 0.2500
Sm1 0.0000 0.0532 0.7500
Sm2 0.0000 0.2512 0.7500
Sm3 0.0000 0.4502 0.7500
In1 0.0000 0.3519 0.2500
# uncorrected energy	-85.4	eV/cell
# calculated formation energy	-70	meV/atom


(6)
# Ac5SmIn6 | the Alexandria database | PBE | optimized geometry
data_Ac5SmIn6
_chemical_formula_sum 'Ac10 Sm2 In12'
_symmetry_space_group_name_H-M 'C 1 2/m 1'
_symmetry_Int_Tables_number 12
_symmetry_space_group_name_Hall '-C 2y'
_cell_length_a 17.8263
_cell_length_b 7.7419
_cell_length_c 5.9051
_cell_angle_alpha 90.00
_cell_angle_beta 101.21
_cell_angle_gamma 90.00
loop_
_atom_site_label
_atom_site_fract_x
_atom_site_fract_y
_atom_site_fract_z
Ac1 0.0000 0.0000 0.0000
Ac2 0.1616 0.0000 0.6705
Ac3 0.1763 0.5000 0.6924
Sm1 0.0000 0.5000 0.0000
In1 0.0000 0.2817 0.5000
In2 0.1589 0.2684 0.1814
# uncorrected energy	-93.5	eV/cell
# calculated formation energy	-421	meV/atom


Q: Which of these has the lowest calculated formation energy?
A: Ac4SmIn5